Entry from Alexandria via LeMat-Bulk: KBeCd2Ni after structural relaxation (PBE-GGA).

abc: 5.016 5.016 5.719
angles: 90.00 90.00 90.00
Element x y z (fractional)
K 0.000 0.000 0.000
Be 0.500 0.500 0.000
Cd 0.000 0.500 0.500
Cd 0.500 0.000 0.500
Ni 0.000 0.000 0.500

Calculated values
- formation energy (eV/f.u.) = 3.8


Entry from Alexandria via LeMat-Bulk: KBeCdO2 after structural relaxation (PBE-GGA).

abc: 6.063 4.866 6.768
angles: 90.00 91.36 90.00
Element x y z (fractional)
K 0.000 0.061 0.250
K 0.000 0.939 0.750
Be 0.500 0.000 0.000
Be 0.500 0.000 0.500
Cd 0.500 0.497 0.750
Cd 0.500 0.503 0.250
O 0.321 0.200 0.987
O 0.321 0.800 0.487
O 0.679 0.200 0.513
O 0.679 0.800 0.013

Calculated values
- formation energy (no corrections) (eV per atom) = -1.317


Entry from Alexandria via LeMat-Bulk: K2BeCdP2 after structural relaxation (PBE-GGA).

abc: 8.789 8.789 8.789
angles: 139.80 57.66 140.45
Element x y z (fractional)
K 0.175 0.238 0.413
K 0.325 0.738 0.063
K 0.675 0.262 0.937
K 0.825 0.762 0.587
Be 0.250 0.750 0.500
Be 0.750 0.250 0.500
Cd 0.250 0.250 0.000
Cd 0.750 0.750 0.000
P 0.088 0.703 0.792
P 0.412 0.203 0.615
P 0.588 0.797 0.385
P 0.912 0.297 0.208

Calculated values
- formation energy (eV/f.u.) = -1.9


The calculation returns the following total magnetization values, one per record and in order: 0.0; 0.0; 0.0 μB per formula unit.